Entry 1:
This record from the Alexandria database describes a PBEsol-optimized structure of Ag2SbTe. The functional is meta-GGA SCAN.

abc: 3.0335 4.1103 7.3351
angles: 90.00 90.00 90.00
With the nearest neighbours (Å) after each atom.
Fractional coordinates of all 4 atoms:
Te1 0.5000 0.5000 0.8119  5 Ag 3.02-3.05, 2 Te 3.03
Sb1 0.0000 0.0000 0.4273  5 Ag 2.89-2.94, 2 Sb 3.03
Ag1 0.5000 0.5000 0.2281  6 Ag 2.93-3.03, 4 Sb 2.94, 1 Te 3.05
Ag2 0.0000 0.0000 0.0327  1 Sb 2.89, 6 Ag 2.93-3.03, 4 Te 3.02

Values from the calculation:
E_tot: -34.24 eV/atom

Entry 2:
This record from the Alexandria database describes a PBEsol-optimized structure of AgSbTe. The functional is meta-GGA SCAN.

abc: 4.9660 4.9660 4.9660
angles: 60.00 60.00 60.00
With the nearest neighbours (Å) after each atom.
Fractional coordinates of all 3 atoms:
Ag1 0.5000 0.5000 0.5000  4 Sb 3.04
Te1 0.0000 0.0000 0.0000  4 Sb 3.04
Sb1 0.7500 0.7500 0.7500  4 Ag 3.04, 4 Te 3.04

Values from the calculation:
E_tot: -34.91 eV/atom

Among the records above, which one has the lowest E_tot? AgSbTe

Which of these has the highest E_tot? Ag2SbTe

Which of these has the highest E_tot? Ag2SbTe

Which formula does entry 2 have? AgSbTe